[1]
# ZrCdCu

Crystalline ZrCdCu at its relaxed geometry (PBE-GGA, the Alexandria database).

Geometry as POSCAR:
```
ZrCdCu
1.0
0.000 3.244 3.244
3.244 0.000 3.244
3.244 3.244 0.000
Zr Cd Cu
1 1 1
Cartesian
0.000 0.000 0.000
1.622 1.622 1.622
4.865 4.865 4.865
```

Results
Raw total energy = -11.928 eV per cell
Spin magnetization = 0.0 Bohr magnetons per cell
DOS at the Fermi energy = 0.87 states/eV/atom
Energy of formation = 0.54 eV per atom
Crystal system = cubic

[2]
# ZrCdCu

Crystalline ZrCdCu at its relaxed geometry (PBE-GGA, the Alexandria database).

Geometry as POSCAR:
```
ZrCdCu
1.0
0.000 3.127 3.127
3.127 0.000 3.127
3.127 3.127 0.000
Zr Cd Cu
1 1 1
Cartesian
0.000 0.000 0.000
3.127 3.127 3.127
1.564 1.564 1.564
```

Results
Raw total energy = -13.357 eV per cell
Spin magnetization = 0.0 Bohr magnetons per cell
DOS at the Fermi energy = 1.63 states/eV/atom
Energy of formation = 0.07 eV per atom
Crystal system = cubic

[3]
# Zr2Cd3Cu2

Crystalline Zr2Cd3Cu2 at its relaxed geometry (PBE-GGA, the Alexandria database).

Geometry as POSCAR:
```
Zr2Cd3Cu2
1.0
2.155 -10.010 0.000
2.155 10.010 0.000
0.000 0.000 3.091
Zr Cd Cu
2 3 2
Cartesian
2.155 6.636 0.000
2.155 -6.636 0.000
0.000 0.000 0.000
2.155 1.586 1.545
2.155 -1.586 1.545
2.155 4.327 1.545
2.155 -4.327 1.545
```

Results
Raw total energy = -28.844 eV per cell
Spin magnetization = 0.0 Bohr magnetons per cell
DOS at the Fermi energy = 0.41 states/eV/atom
Energy of formation = -0.12 eV per atom
Crystal system = orthorhombic

[4]
# ZrCd3Cu

Crystalline ZrCd3Cu at its relaxed geometry (PBE-GGA, the Alexandria database).

Geometry as POSCAR:
```
ZrCd3Cu
1.0
5.662 0.000 0.000
0.000 5.662 0.000
0.000 0.000 5.662
Zr Cd Cu
1 3 1
Cartesian
0.000 0.000 0.000
0.000 0.000 2.831
0.000 2.831 0.000
2.831 0.000 0.000
2.831 2.831 2.831
```

Results
Raw total energy = -9.349 eV per cell
Spin magnetization = 1.4 Bohr magnetons per cell
DOS at the Fermi energy = 1.13 states/eV/atom
Energy of formation = 1.21 eV per atom
Crystal system = cubic

[5]
# Zr2CdCu

Crystalline Zr2CdCu at its relaxed geometry (PBE-GGA, the Alexandria database).

Geometry as POSCAR:
```
Zr2CdCu
1.0
2.928 -4.153 0.000
2.928 4.153 0.000
0.000 0.000 3.249
Zr Cd Cu
2 1 1
Cartesian
1.464 2.077 0.000
1.464 -2.077 0.000
0.000 0.000 1.624
2.928 0.000 1.624
```

Results
Raw total energy = -22.192 eV per cell
Spin magnetization = 0.0 Bohr magnetons per cell
DOS at the Fermi energy = 0.94 states/eV/atom
Energy of formation = -0.02 eV per atom
Crystal system = orthorhombic

[6]
# ZrCdCu2

Crystalline ZrCdCu2 at its relaxed geometry (PBE-GGA, the Alexandria database).

Geometry as POSCAR:
```
ZrCdCu2
1.0
5.094 -1.491 0.000
5.094 1.491 0.000
-1.642 0.000 4.478
Zr Cd Cu
1 1 2
Cartesian
0.000 0.000 0.000
1.092 0.000 2.991
3.923 0.000 2.129
7.410 0.000 0.909
```

Results
Raw total energy = -17.551 eV per cell
Spin magnetization = 0.0 Bohr magnetons per cell
DOS at the Fermi energy = 0.58 states/eV/atom
Energy of formation = 0.03 eV per atom
Crystal system = monoclinic

[7]
# ZrCd2Cu

Crystalline ZrCd2Cu at its relaxed geometry (PBE-GGA, the Alexandria database).

Geometry as POSCAR:
```
ZrCd2Cu
1.0
1.520 0.878 9.778
-1.520 0.878 9.778
0.000 -1.756 9.778
Zr Cd Cu
1 2 1
Cartesian
0.000 0.000 0.000
0.000 0.000 7.091
0.000 0.000 12.469
0.000 0.000 24.445
```

Results
Raw total energy = -14.130 eV per cell
Spin magnetization = 0.0 Bohr magnetons per cell
DOS at the Fermi energy = 0.80 states/eV/atom
Energy of formation = 0.09 eV per atom
Crystal system = trigonal

[8]
# ZrCdCu

Crystalline ZrCdCu at its relaxed geometry (PBE-GGA, the Alexandria database).

Geometry as POSCAR:
```
ZrCdCu
1.0
1.539 -8.300 0.000
1.539 8.300 0.000
0.000 0.000 4.353
Zr Cd Cu
2 2 2
Cartesian
1.539 6.687 3.265
1.539 -6.687 1.088
1.539 3.430 3.265
1.539 -3.430 1.088
1.539 0.690 3.265
1.539 -0.690 1.088
```

Results
Raw total energy = -27.966 eV per cell
Spin magnetization = 0.0 Bohr magnetons per cell
DOS at the Fermi energy = 0.38 states/eV/atom
Energy of formation = -0.14 eV per atom
Crystal system = orthorhombic